The following is a DFT calculation (PBE-GGA) of a relaxed Zn2Pb2I crystal.

```
Zn2Pb2I
1.0
-0.0047 0.6644 8.5175
2.1736 -8.2371 0.6437
3.6311 0.9525 -0.0723
I Zn Pb
2 4 4
Cartesian
1.0845 -3.7864 4.5806 I
0.0000 0.0000 0.0000 I
1.3869 -4.6999 7.7375 Zn
1.8677 -6.8452 3.6204 Zn
0.7820 -2.8729 1.4237 Zn
0.3012 -0.7275 5.5407 Zn
3.2378 -4.8134 1.7025 Pb
3.6499 -6.0521 6.0840 Pb
2.1501 -0.5682 3.0049 Pb
2.5623 -1.8068 7.3864 Pb
```

Computed properties:
- Polymorph energy (0 for the lowest one): 28 meV per atom
- Symmetry: P4/mbm

***

The following is a DFT calculation (PBE-GGA) of a relaxed Zn2Pb2I crystal.

```
Zn2Pb2I
1.0
-4.0140 -6.6783 3.7972
4.0464 -5.4797 -5.3600
2.8757 -0.3125 2.4904
Pb I Zn
4 2 4
Cartesian
-0.8665 -9.2510 -0.1601 Pb
-2.0025 -5.0351 1.6806 Pb
2.0349 -7.1230 -3.2434 Pb
0.8989 -2.9071 -1.4027 Pb
0.0162 -6.0790 -0.7814 I
0.0000 0.0000 0.0000 I
0.7160 -3.3043 1.6838 Zn
-0.5581 -7.6359 2.6116 Zn
2.1921 -9.1662 -0.7562 Zn
3.4662 -4.8346 -1.6840 Zn
```

Computed properties:
- Polymorph energy (0 for the lowest one): 0 meV per atom
- Symmetry: P4/mbm

***

The following is a DFT calculation (PBE-GGA) of a relaxed ZnPb2I crystal.

```
ZnPb2I
1.0
-2.3019 2.5657 -5.9023
-4.9692 -4.6921 -0.1016
-7.8357 3.3084 0.5365
I Zn Pb
2 2 4
Cartesian
-6.8866 2.4055 -4.1839 I
0.0000 0.0000 0.0000 I
-8.2202 -1.2234 -1.2835 Zn
-3.6356 -1.0632 -3.0020 Zn
-11.8765 0.9631 -4.8436 Pb
-8.9660 1.3416 -1.8565 Pb
-3.8509 1.6570 -3.1369 Pb
-5.5204 -1.5975 -1.0978 Pb
```

Computed properties:
- Polymorph energy (0 for the lowest one): 16 meV per atom
- Symmetry: I-42d

***

The following is a DFT calculation (PBE-GGA) of a relaxed Zn2PbI crystal.

```
Zn2PbI
1.0
-1.4929 6.2572 -1.7342
-5.9257 -2.0404 -2.2609
-6.2005 3.0805 3.6544
Zn I Pb
4 2 2
Cartesian
-5.4041 0.1253 -0.6742 Zn
-3.2601 4.5776 -0.4949 Zn
-7.2886 3.9412 1.2975 Zn
-11.2853 5.9506 -0.8097 Zn
-7.9177 1.5742 -0.3020 I
-3.7093 2.1084 -1.9976 I
0.0000 0.0000 0.0000 Pb
-5.7013 5.7231 -0.0386 Pb
```

Computed properties:
- Polymorph energy (0 for the lowest one): 0 meV per atom
- Symmetry: I-42d

***

The following is a DFT calculation (PBE-GGA) of a relaxed ZrPbI6 crystal.

```
ZrPbI6
1.0
-4.3144 -1.3477 6.0837
4.7171 -6.3261 0.4950
2.4263 7.2851 1.8856
I Zr Pb
6 1 1
Cartesian
0.2871 1.9529 2.1221 I
0.9746 -2.1315 1.7048 I
-1.6383 -0.8095 5.2250 I
1.8545 1.7429 6.7595 I
4.4673 0.4209 3.2393 I
2.5419 -2.3415 6.3422 I
0.0000 0.0000 0.0000 Zr
1.4145 -0.1943 4.2321 Pb
```

Computed properties:
- Symmetry: C2/m
- Final energy: -3.46 eV per atom

***

The following is a DFT calculation (PBE-GGA) of a relaxed ZrPb2I crystal.

```
ZrPb2I
1.0
4.4538 0.0000 0.0000
0.0000 4.4538 0.0000
2.2269 2.2269 11.9613
Pb Zr I
4 2 2
Cartesian
1.1691 3.3404 2.9903 Pb
3.3404 3.3960 8.9710 Pb
3.2847 1.1135 2.9903 Pb
5.5673 5.5117 8.9710 Pb
2.2269 2.2269 0.0000 Zr
2.2269 4.4538 5.9806 Zr
0.0000 0.0000 0.0000 I
4.4538 2.2269 5.9806 I
```

Computed properties:
- Polymorph energy (0 for the lowest one): 0 meV per atom
- Symmetry: I-42d

***

The following is a DFT calculation (PBE-GGA) of a relaxed ZrPbI4 crystal.

```
ZrPbI4
1.0
6.8793 0.2482 -0.2567
-0.2708 9.1940 1.3792
0.2576 2.4066 8.9804
I Pb Zr
8 2 2
Cartesian
6.2935 6.5555 6.9846 I
2.7328 7.9857 5.3722 I
0.5726 5.2933 3.1183 I
0.9342 2.4067 6.1113 I
4.0631 6.5216 1.5136 I
2.8030 5.3272 8.5892 I
4.1333 3.8631 4.7306 I
5.9319 9.4421 3.9915 I
5.4074 2.7173 8.6483 Pb
1.4587 9.1314 1.4546 Pb
1.7569 5.3010 5.7443 Zr
5.1092 6.5478 4.3586 Zr
```

Computed properties:
- Symmetry: C2/c
- Final energy: -3.68 eV per atom

***

The following is a DFT calculation (PBE-GGA) of a relaxed ZrPb2I crystal.

```
ZrPb2I
1.0
0.0000 3.8977 3.8977
3.8977 0.0000 3.8977
3.8977 3.8977 0.0000
Pb Zr I
2 1 1
Cartesian
5.8466 5.8466 5.8466 Pb
1.9489 1.9489 1.9489 Pb
0.0000 0.0000 0.0000 Zr
3.8977 3.8977 3.8977 I
```

Computed properties:
- Polymorph energy (0 for the lowest one): 161 meV per atom
- Symmetry: Fm-3m

***

The following is a DFT calculation (PBE-GGA) of a relaxed Zr2Pb2I crystal.

```
Zr2Pb2I
1.0
8.1653 0.0000 0.0000
0.0000 8.1653 0.0000
0.0000 0.0000 3.9611
Zr Pb I
4 4 2
Cartesian
6.8640 5.3839 0.0000 Zr
2.7814 6.8640 0.0000 Zr
5.3839 1.3012 0.0000 Zr
1.3012 2.7814 0.0000 Zr
2.9617 1.1209 1.9805 Pb
1.1209 5.2035 1.9805 Pb
7.0443 2.9617 1.9805 Pb
5.2035 7.0443 1.9805 Pb
0.0000 0.0000 0.0000 I
4.0826 4.0826 0.0000 I
```

Computed properties:
- Symmetry: P4/mbm
- Final energy: -5.30 eV per atom

***

The following is a DFT calculation (PBE-GGA) of a relaxed PdI crystal.

```
PdI
1.0
-2.2668 1.6322 -3.2855
-1.1604 -3.7609 1.7624
-4.3514 3.5837 4.7825
I Pd
2 2
Cartesian
-2.8621 0.6285 -0.5433 I
-4.6690 0.6227 3.5306 I
-3.0976 -0.6715 1.8036 Pd
-5.6421 2.9181 2.5122 Pd
```

Computed properties:
- Symmetry: P6_3mc
- Final energy: -3.33 eV per atom

***

The following is a DFT calculation (PBE-GGA) of a relaxed Pd2I13 crystal.

```
Pd2I13
1.0
-5.0049 5.5690 2.5428
-3.5608 -8.8185 5.3992
5.2293 5.2556 4.7848
I Pd
13 2
Cartesian
-0.4765 -1.3825 3.5394 I
-2.7222 1.6253 2.9690 I
2.4209 2.8369 6.7459 I
0.0000 0.0000 0.0000 I
-2.8599 3.3886 9.1875 I
0.0064 2.0317 5.3674 I
-2.4480 6.1280 4.5442 I
0.0695 7.1611 5.7985 I
-3.4059 -5.1551 6.9283 I
-3.3428 -0.0257 7.3594 I
-0.6142 0.3807 9.7579 I
-0.8884 -4.1219 8.1826 I
-5.7573 -0.8309 5.9809 I
-0.0743 1.1467 2.6271 Pd
-3.2621 0.8593 10.0997 Pd
```

Computed properties:
- Symmetry: P-1
- Final energy: -2.05 eV per atom

***

The following is a DFT calculation (PBE-GGA) of a relaxed PdI3 crystal.

```
PdI3
1.0
-5.2436 -1.3101 -0.9488
-3.9646 2.0756 3.1758
-3.4459 3.7626 -2.0200
I Pd
3 1
Cartesian
-6.3270 2.2641 0.1035 I
-3.1635 1.1320 0.0518 I
-9.4905 3.3961 0.1553 I
0.0000 0.0000 0.0000 Pd
```

Computed properties:
- Symmetry: Fm-3m
- Final energy: -1.83 eV per atom